Density functional theory data (PBE) for a relaxed structure of CdGa2H2.

Output
Fermi-level density of states = 1.946 states/eV/f.u.
Distance to the lowest polymorph of the same formula = 22.0 meV/atom

Lattice parameters (Å, degrees): 4.0822 4.0822 9.3311 90.00 90.00 90.00
Space group I4/mmm (No. 139)
Asymmetric unit:
Cd 0.0000 0.0000 0.0000
Ga 0.0000 0.5000 0.2500
H 0.0000 0.0000 0.3036


Density functional theory data (PBE) for a relaxed structure of NaAcEr2.

Output
Fermi-level density of states = 5.014 states/eV/f.u.
Energy relative to the elements = 0.2570 eV/atom

Lattice parameters (Å, degrees): 3.6302 3.6302 38.6249 90.00 90.00 120.00
Space group R-3m (No. 166, hexagonal axes)
Asymmetric unit:
Na 0.0000 0.0000 0.0000
Ac 0.0000 0.0000 0.5000
Er 0.0000 0.0000 0.0908


Density functional theory data (PBE) for a relaxed structure of Na2Ac.

Output
Fermi-level density of states = 1.182 states/eV/f.u.
Energy relative to the elements = 0.1591 eV/atom
Distance to the lowest polymorph of the same formula = 66.1 meV/atom

Lattice parameters (Å, degrees): 9.7195 9.7195 9.7195 90.00 90.00 90.00
Space group Fd-3m (No. 227, origin choice 2)
Asymmetric unit:
Na 0.0000 0.0000 0.0000
Ac 0.1250 0.1250 0.6250


Density functional theory data (PBE) for a relaxed structure of BOsSe2.

Output
Fermi-level density of states = 2.017 states/eV/f.u.
E_form (uncorrected) = 0.569 eV per atom

Lattice parameters (Å, degrees): 5.3047 5.3047 9.7807 90.00 90.00 90.00
Space group I-42d (No. 122)
Asymmetric unit:
B 0.0000 0.0000 0.0000
Os 0.0000 0.0000 0.5000
Se 0.2023 0.2500 0.1250